No. 1
Compound: AcNbIr
Source: the Open Quantum Materials Database
Functional: PBE-GGA
Structure: relaxed

Geometry as extended XYZ:
```
3
Lattice="0.000 3.320 3.320 3.320 0.000 3.320 3.320 3.320 0.000" Properties=species:S:1:pos:R:3 pbc="T T T"
Ac 0.000 0.000 0.000
Ir 1.660 1.660 1.660
Nb 4.980 4.980 4.980
```

Computed properties:
Calculated formation energy in eV/atom: 1.147
E above lowest polymorph in meV per atom: 722.4
Raw total energy in eV for the cell shown: -19.61
M_tot in μB per formula unit: 0.2

---

No. 2
Compound: BaGaSnPdAu
Source: the Open Quantum Materials Database
Functional: PBE-GGA
Structure: relaxed

Geometry as extended XYZ:
```
10
Lattice="-0.557 4.392 -1.685 0.809 -1.582 -4.391 -10.713 -1.859 -1.303" Properties=species:S:1:pos:R:3 pbc="T T T"
Au -6.904 1.046 -1.648
Au -3.684 -1.500 -2.693
Ba -7.572 -2.175 -3.166
Ba -3.015 1.721 -1.175
Pd 0.126 1.405 -3.038
Pd 0.000 0.000 0.000
Sn -9.727 0.556 -1.992
Sn -0.860 -1.010 -2.349
Ga -5.231 0.475 -3.689
Ga -5.356 -0.930 -0.652
```

Computed properties:
E above lowest polymorph in meV per atom: 4.2
Raw total energy in eV for the cell shown: -41.31

---

> What is the formula in the first record?

AcNbIr